# MgWO2 PBE with a Hubbard U optimized geometry
data_MgWO2
_cell_length_a 16.502
_cell_length_b 3.307
_cell_length_c 9.529
_cell_angle_alpha 90.00
_cell_angle_beta 122.97
_cell_angle_gamma 90.00
_symmetry_space_group_name_H-M 'C 1 2/m 1'
_symmetry_Int_Tables_number 12
loop_
_symmetry_equiv_pos_as_xyz
'x,y,z'
'-x,-y,-z'
'-x,y,-z'
'x,-y,z'
'x+1/2,y+1/2,z'
'-x+1/2,-y+1/2,-z'
'-x+1/2,y+1/2,-z'
'x+1/2,-y+1/2,z'
loop_
_atom_site_label
_atom_site_type_symbol
_atom_site_fract_x
_atom_site_fract_y
_atom_site_fract_z
Mg1 Mg 0.032 0.000 0.179
Mg2 Mg 0.177 0.500 0.157
W1 W 0.157 0.000 0.873
W2 W 0.161 0.500 0.503
O1 O 0.014 0.500 0.278
O2 O 0.098 0.000 0.039
O3 O 0.178 0.000 0.363
O4 O 0.180 0.000 0.668
# **M_tot**: 3.0 μB per formula unit
# **Mass density**: 7.31 Mg/m³
# **Volume**: 436.3 Å³ per cell
# **VASP energy**: -6.185 eV per atom